# SiTcAs2C

A relaxed structure of SiTcAs2C (GGA-PBEsol, Alexandria via LeMat-Bulk).

## Properties
formation energy (no corrections)	2.25	eV/atom
size of the total moment	0.03	μB per formula unit

Cell and atoms, written as CIF:
```
data_SiTcAs2C
_symmetry_space_group_name_H-M 'P 4/m m m'
_symmetry_Int_Tables_number 123
_symmetry_space_group_name_Hall '-P 4 2'
_cell_length_a 4.585
_cell_length_b 4.585
_cell_length_c 4.445
_cell_angle_alpha 90.00
_cell_angle_beta 90.00
_cell_angle_gamma 90.00
loop_
_atom_site_label
_atom_site_type_symbol
_atom_site_fract_x
_atom_site_fract_y
_atom_site_fract_z
Si1 Si 0.000 0.000 0.000
Tc1 Tc 0.000 0.000 0.500
As1 As 0.000 0.500 0.000
C1 C 0.500 0.500 0.500
```